No. 1
Entry from Alexandria: a PBEsol-optimized structure of Mn3GePd (meta-GGA SCAN).

## Properties
DOS at the Fermi energy: 4.37 states/eV per cell
Energy relative to the elements: 0.4219 eV/atom

a = 4.449 Å, b = 4.449 Å, c = 4.449 Å
α = 90.00°, β = 90.00°, γ = 90.00°
Fractional coordinates of all 5 atoms:
Mn (0.500, 0.000, 0.000)
Mn (0.000, 0.500, 0.000)
Mn (0.000, 0.000, 0.500)
Pd (0.500, 0.500, 0.500)
Ge (0.000, 0.000, 0.000)


No. 2
Entry from Alexandria: a PBEsol-optimized structure of Mn2GePdPt (meta-GGA SCAN).

## Properties
DOS at the Fermi energy: 2.83 states/eV per cell
Energy relative to the elements: 0.3722 eV/atom

a = 4.509 Å, b = 4.483 Å, c = 4.483 Å
α = 90.00°, β = 90.00°, γ = 90.00°
Fractional coordinates of all 5 atoms:
Ge (0.000, 0.000, 0.000)
Mn (0.000, 0.500, 0.000)
Mn (0.000, 0.000, 0.500)
Pd (0.500, 0.500, 0.500)
Pt (0.500, 0.000, 0.000)


No. 3
Entry from Alexandria: a PBEsol-optimized structure of Mn3GePt (meta-GGA SCAN).

## Properties
DOS at the Fermi energy: 4.19 states/eV per cell
Energy relative to the elements: 0.4484 eV/atom

a = 4.392 Å, b = 4.392 Å, c = 4.392 Å
α = 90.00°, β = 90.00°, γ = 90.00°
Fractional coordinates of all 5 atoms:
Mn (0.000, 0.000, 0.500)
Mn (0.000, 0.500, 0.000)
Mn (0.500, 0.000, 0.000)
Pt (0.500, 0.500, 0.500)
Ge (0.000, 0.000, 0.000)


No. 4
Entry from Alexandria: a PBEsol-optimized structure of MnGe2SbPt (meta-GGA SCAN).

## Properties
DOS at the Fermi energy: 3.35 states/eV per cell
Raw formation energy: 123 kJ per mole of atoms

a = 4.782 Å, b = 5.122 Å, c = 5.122 Å
α = 90.00°, β = 90.00°, γ = 90.00°
Fractional coordinates of all 5 atoms:
Ge (0.000, 0.500, 0.000)
Ge (0.000, 0.000, 0.500)
Mn (0.500, 0.000, 0.000)
Pt (0.500, 0.500, 0.500)
Sb (0.000, 0.000, 0.000)